i:
VASP calculation (PBE) on an optimized crystal structure of Li3Dy2Tl4.

It has space group C2/m (No. 12), with a = 9.2664 Å, b = 4.9545 Å, c = 9.4126 Å, α = 90.00°, β = 101.78° and γ = 90.00°. The inequivalent atoms are Li at (0.0000, 0.0000, 0.0000), Li at (0.1191, 0.5000, 0.5856), Dy at (0.2102, 0.5000, 0.2405), Tl at (0.0732, 0.0000, 0.3718) and Tl at (0.1409, 0.5000, 0.8955).

***

ii:
VASP calculation (PBE) on an optimized crystal structure of Li3Dy2Tl4.

It has space group Cmce (No. 64), with a = 6.4609 Å, b = 16.1854 Å, c = 7.9975 Å, α = 90.00°, β = 90.00° and γ = 90.00°. The inequivalent atoms are Li at (0.0000, 0.0000, 0.0000), Li at (0.2500, 0.2278, 0.2500), Dy at (0.0000, 0.1097, 0.5826), Tl at (0.0000, 0.1745, 0.9662) and Tl at (0.2500, 0.0515, 0.2500).

***

Last place for stability: ii

***

i:
VASP calculation (PBE) on an optimized crystal structure of LiDyTm.

It has space group P3m1 (No. 156), with a = 3.4359 Å, b = 3.4359 Å, c = 8.2777 Å, α = 90.00°, β = 90.00° and γ = 120.00°. The inequivalent atoms are Li at (0.0000, 0.0000, 0.0000), Dy at (0.3333, 0.6667, 0.6661) and Tm at (0.6667, 0.3333, 0.3287).

***

ii:
VASP calculation (PBE) on an optimized crystal structure of LiDyTm.

It has space group P4/nmm (No. 129, origin choice 2), with a = 3.5617 Å, b = 3.5617 Å, c = 12.7314 Å, α = 90.00°, β = 90.00° and γ = 90.00°. The inequivalent atoms are Li at (0.2500, 0.2500, 0.0515), Dy at (0.2500, 0.2500, 0.7811) and Tm at (0.2500, 0.2500, 0.4040).

***

Last place for stability: i

***

i:
VASP calculation (PBE) on an optimized crystal structure of LiDyTm.

It has space group C2/m (No. 12), with a = 5.9938 Å, b = 3.4609 Å, c = 28.0890 Å, α = 90.00°, β = 95.42° and γ = 90.00°. The inequivalent atoms are Li at (0.1496, 0.0000, 0.4606), Dy at (0.1902, 0.5000, 0.0531) and Tm at (0.0675, 0.0000, 0.1525).

***

ii:
VASP calculation (PBE) on an optimized crystal structure of LiDyTm.

It has space group I4mm (No. 107), with a = 3.6007 Å, b = 3.6007 Å, c = 12.5081 Å, α = 90.00°, β = 90.00° and γ = 90.00°. The inequivalent atoms are Li at (0.0000, 0.0000, 0.0000), Dy at (0.0000, 0.0000, 0.6574) and Tm at (0.0000, 0.0000, 0.3474).

***

Last place for stability: i

***

i:
VASP calculation (PBE) on an optimized crystal structure of LiDy2Y.

It has space group R3m (No. 160, hexagonal axes), with a = 3.5030 Å, b = 3.5030 Å, c = 33.6184 Å, α = 90.00°, β = 90.00° and γ = 120.00°. The inequivalent atoms are Li at (0.0000, 0.0000, 0.0000), Dy at (0.0000, 0.0000, 0.2522), Dy at (0.0000, 0.0000, 0.4149) and Y at (0.0000, 0.0000, 0.8336).

***

ii:
VASP calculation (PBE) on an optimized crystal structure of LiDy2Y.

It has space group Fm-3m (No. 225), with a = 7.7584 Å, b = 7.7584 Å, c = 7.7584 Å, α = 90.00°, β = 90.00° and γ = 90.00°. The inequivalent atoms are Li at (0.0000, 0.0000, 0.0000), Dy at (0.2500, 0.2500, 0.2500) and Y at (0.0000, 0.0000, 0.5000).

***

Last place for stability: ii

***

i:
VASP calculation (PBE) on an optimized crystal structure of LiDy2Y.

It has space group P4/mmm (No. 123), with a = 3.6077 Å, b = 3.6077 Å, c = 8.8318 Å, α = 90.00°, β = 90.00° and γ = 90.00°. The inequivalent atoms are Li at (0.0000, 0.0000, 0.0000), Dy at (0.5000, 0.5000, 0.2208) and Y at (0.0000, 0.0000, 0.5000).

***

ii:
VASP calculation (PBE) on an optimized crystal structure of LiDy2Y.

It has space group R-3m (No. 166, hexagonal axes), with a = 3.4941 Å, b = 3.4941 Å, c = 33.7200 Å, α = 90.00°, β = 90.00° and γ = 120.00°. The inequivalent atoms are Li at (0.0000, 0.0000, 0.0000), Dy at (0.0000, 0.0000, 0.2520) and Y at (0.0000, 0.0000, 0.5000).

***

Last place for stability: ii

***

i:
VASP calculation (PBE) on an optimized crystal structure of LiDyY2.

It has space group P4/mmm (No. 123), with a = 3.6182 Å, b = 3.6182 Å, c = 8.8288 Å, α = 90.00°, β = 90.00° and γ = 90.00°. The inequivalent atoms are Li at (0.0000, 0.0000, 0.0000), Dy at (0.0000, 0.0000, 0.5000) and Y at (0.5000, 0.5000, 0.2218).

***

ii:
VASP calculation (PBE) on an optimized crystal structure of LiDyY2.

It has space group Fm-3m (No. 225), with a = 7.7680 Å, b = 7.7680 Å, c = 7.7680 Å, α = 90.00°, β = 90.00° and γ = 90.00°. The inequivalent atoms are Li at (0.0000, 0.0000, 0.0000), Dy at (0.0000, 0.0000, 0.5000) and Y at (0.2500, 0.2500, 0.2500).

***

Last place for stability: ii

***

i:
VASP calculation (PBE) on an optimized crystal structure of LiDyZn2.

It has space group Fm-3m (No. 225), with a = 6.7485 Å, b = 6.7485 Å, c = 6.7485 Å, α = 90.00°, β = 90.00° and γ = 90.00°. The inequivalent atoms are Li at (0.0000, 0.0000, 0.0000), Dy at (0.0000, 0.0000, 0.5000) and Zn at (0.2500, 0.2500, 0.2500).

***

ii:
VASP calculation (PBE) on an optimized crystal structure of LiDyZn2.

It has space group P4/mmm (No. 123), with a = 3.3177 Å, b = 3.3177 Å, c = 6.9017 Å, α = 90.00°, β = 90.00° and γ = 90.00°. The inequivalent atoms are Li at (0.0000, 0.0000, 0.0000), Dy at (0.0000, 0.0000, 0.5000) and Zn at (0.5000, 0.5000, 0.2078).

***

iii:
VASP calculation (PBE) on an optimized crystal structure of LiDyZn2.

It has space group P4/mmm (No. 123), with a = 4.9496 Å, b = 4.9496 Å, c = 3.3288 Å, α = 90.00°, β = 90.00° and γ = 90.00°. The inequivalent atoms are Li at (0.0000, 0.0000, 0.0000), Dy at (0.5000, 0.5000, 0.0000) and Zn at (0.0000, 0.5000, 0.5000).

***

Last place for stability: iii

***

i:
VASP calculation (PBE) on an optimized crystal structure of LiDyZn.

It has space group P3m1 (No. 156), with a = 4.7459 Å, b = 4.7459 Å, c = 3.1867 Å, α = 90.00°, β = 90.00° and γ = 120.00°. The inequivalent atoms are Li at (0.0000, 0.0000, 0.0000), Dy at (0.6667, 0.3333, 0.5011) and Zn at (0.3333, 0.6667, 0.0017).

***

ii:
VASP calculation (PBE) on an optimized crystal structure of LiDyZn.

It has space group C2/m (No. 12), with a = 10.6466 Å, b = 3.3303 Å, c = 8.6159 Å, α = 90.00°, β = 95.26° and γ = 90.00°. The inequivalent atoms are Li at (0.1219, 0.0000, 0.4285), Dy at (0.1941, 0.0000, 0.8160) and Zn at (0.0800, 0.0000, 0.1184).

***

Last place for stability: ii

***

i:
VASP calculation (PBE) on an optimized crystal structure of LiDy2Zr.

It has space group P4/mmm (No. 123), with a = 5.5156 Å, b = 5.5156 Å, c = 3.4298 Å, α = 90.00°, β = 90.00° and γ = 90.00°. The inequivalent atoms are Li at (0.0000, 0.0000, 0.0000), Dy at (0.0000, 0.5000, 0.5000) and Zr at (0.5000, 0.5000, 0.0000).

***

ii:
VASP calculation (PBE) on an optimized crystal structure of LiDy2Zr.

It has space group P4/mmm (No. 123), with a = 3.4348 Å, b = 3.4348 Å, c = 8.9653 Å, α = 90.00°, β = 90.00° and γ = 90.00°. The inequivalent atoms are Li at (0.0000, 0.0000, 0.0000), Dy at (0.5000, 0.5000, 0.2516) and Zr at (0.0000, 0.0000, 0.5000).

***

iii:
VASP calculation (PBE) on an optimized crystal structure of LiDy2Zr.

It has space group R-3m (No. 166, hexagonal axes), with a = 3.3721 Å, b = 3.3721 Å, c = 33.0244 Å, α = 90.00°, β = 90.00° and γ = 120.00°. The inequivalent atoms are Li at (0.0000, 0.0000, 0.0000), Dy at (0.0000, 0.0000, 0.2466) and Zr at (0.0000, 0.0000, 0.5000).

***

Last place for stability: i

***

i:
VASP calculation (PBE) on an optimized crystal structure of DyLu2.

It has space group I4/mmm (No. 139), with a = 3.4712 Å, b = 3.4712 Å, c = 14.8382 Å, α = 90.00°, β = 90.00° and γ = 90.00°. The inequivalent atoms are Dy at (0.0000, 0.0000, 0.0000) and Lu at (0.0000, 0.0000, 0.3325).

***

ii:
VASP calculation (PBE) on an optimized crystal structure of DyLu2.

It has space group Fd-3m (No. 227, origin choice 2), with a = 9.1374 Å, b = 9.1374 Å, c = 9.1374 Å, α = 90.00°, β = 90.00° and γ = 90.00°. The inequivalent atoms are Dy at (0.1250, 0.1250, 0.1250) and Lu at (0.0000, 0.0000, 0.5000).

***

Last place for stability: ii

***

i:
VASP calculation (PBE) on an optimized crystal structure of DyLuNi.

It has space group I4mm (No. 107), with a = 3.3609 Å, b = 3.3609 Å, c = 12.2416 Å, α = 90.00°, β = 90.00° and γ = 90.00°. The inequivalent atoms are Dy at (0.0000, 0.0000, 0.0000), Lu at (0.0000, 0.0000, 0.2640) and Ni at (0.0000, 0.0000, 0.6378).

***

ii:
VASP calculation (PBE) on an optimized crystal structure of DyLuNi.

It has space group P3m1 (No. 156), with a = 4.4973 Å, b = 4.4973 Å, c = 3.9486 Å, α = 90.00°, β = 90.00° and γ = 120.00°. The inequivalent atoms are Dy at (0.0000, 0.0000, 0.0000), Lu at (0.3333, 0.6667, 0.5106) and Ni at (0.6667, 0.3333, 0.2959).

***

iii:
VASP calculation (PBE) on an optimized crystal structure of DyLuNi.

It has space group F-43m (No. 216), with a = 6.6255 Å, b = 6.6255 Å, c = 6.6255 Å, α = 90.00°, β = 90.00° and γ = 90.00°. The inequivalent atoms are Dy at (0.0000, 0.0000, 0.0000), Lu at (0.0000, 0.0000, 0.5000) and Ni at (0.2500, 0.2500, 0.2500).

***

Last place for stability: ii

***

i:
VASP calculation (PBE) on an optimized crystal structure of DyLu2O.

It has space group R-3m (No. 166, hexagonal axes), with a = 3.3753 Å, b = 3.3753 Å, c = 27.4690 Å, α = 90.00°, β = 90.00° and γ = 120.00°. The inequivalent atoms are Dy at (0.0000, 0.0000, 0.0000), Lu at (0.0000, 0.0000, 0.1194) and O at (0.0000, 0.0000, 0.5000).

***

ii:
VASP calculation (PBE) on an optimized crystal structure of DyLu2O.

It has space group P4/mmm (No. 123), with a = 3.1503 Å, b = 3.1503 Å, c = 8.4815 Å, α = 90.00°, β = 90.00° and γ = 90.00°. The inequivalent atoms are Dy at (0.0000, 0.0000, 0.0000), Lu at (0.5000, 0.5000, 0.3188) and O at (0.0000, 0.0000, 0.5000).

***

Last place for stability: ii